(1)
## GdYInHg (GGA-PBE)

Data for a relaxed structure of GdYInHg.

Lattice parameters (Å, degrees): 5.3218 5.3218 5.3218 60.00 60.00 60.00
Closest atoms and distances in Å follow each position.
Atoms (fractional coordinates):
Y: 0.2500 0.2500 0.2500  4 In 3.26, 4 Hg 3.26
Gd: 0.7500 0.7500 0.7500  4 Hg 3.26, 4 In 3.26
Hg: 0.0000 0.0000 0.0000  4 Gd 3.26, 4 Y 3.26
In: 0.5000 0.5000 0.5000  4 Y 3.26, 4 Gd 3.26

Values from the calculation:
Raw total energy: -6.3987 eV per atom
N(E_F): 4.085 states/eV per cell
V: 26.64 Å³ per atom
ΔE_f: -0.502 eV per atom
ρ: 8.75 g/cm³
Total magnetization: 7.859 μB per formula unit

***

(2)
## GdZrInHg (GGA-PBE)

Data for a relaxed structure of GdZrInHg.

Lattice parameters (Å, degrees): 5.1676 5.1676 5.1676 60.00 60.00 60.00
Closest atoms and distances in Å follow each position.
Atoms (fractional coordinates):
Zr: 0.0000 0.0000 0.0000  4 Hg 3.16, 4 In 3.16
In: 0.2500 0.2500 0.2500  4 Zr 3.16, 4 Gd 3.16
Gd: 0.5000 0.5000 0.5000  4 In 3.16, 4 Hg 3.16
Hg: 0.7500 0.7500 0.7500  4 Zr 3.16, 4 Gd 3.16

Values from the calculation:
Raw total energy: -6.6853 eV per atom
N(E_F): 2.961 states/eV per cell
V: 24.39 Å³ per atom
ΔE_f: -0.268 eV per atom
ρ: 9.60 g/cm³
Total magnetization: 7.089 μB per formula unit

***

(3)
## Gd3HgIr (GGA-PBE)

Data for a relaxed structure of Gd3HgIr.

Lattice parameters (Å, degrees): 5.4135 5.4135 5.4135 90.00 90.00 90.00
Closest atoms and distances in Å follow each position.
Atoms (fractional coordinates):
Gd: 0.0000 0.5000 0.0000  2 Ir 2.71
Gd: 0.5000 0.0000 0.0000  2 Ir 2.71
Ir: 0.0000 0.0000 0.0000  6 Gd 2.71
Gd: 0.0000 0.0000 0.5000  2 Ir 2.71
Hg: 0.5000 0.5000 0.5000  12 Gd 3.83

Values from the calculation:
Raw total energy: -10.6315 eV per atom
N(E_F): 7.770 states/eV per cell
V: 31.73 Å³ per atom
ΔE_f: -0.350 eV per atom
ρ: 9.05 g/cm³
Total magnetization: 21.557 μB per formula unit